Li4Cr3FeO8: relaxed, GGA+U.

Structure (POSCAR):
```
Li4Cr3FeO8
1.0
5.124 0.000 0.000
1.696 5.648 0.000
2.544 2.313 10.060
Li Cr Fe O
8 6 2 16
Cartesian
1.272 1.933 3.760
8.092 6.028 6.300
2.975 4.502 8.774
3.837 7.301 8.807
2.146 4.734 3.762
7.218 3.227 6.298
5.527 0.659 1.253
6.390 3.458 1.286
3.834 1.156 5.030
4.682 2.440 7.547
5.534 3.736 10.059
4.682 3.980 5.030
3.831 4.225 0.001
4.682 5.521 2.513
3.835 2.696 2.517
5.530 5.265 7.543
3.933 2.665 9.415
3.932 5.744 4.380
3.092 2.920 4.359
4.786 5.487 9.383
3.091 4.436 1.877
4.789 7.007 6.906
2.259 1.653 1.873
3.953 4.218 6.904
5.411 3.743 3.156
7.106 6.307 8.187
4.576 0.953 3.154
6.273 3.525 8.183
4.578 2.474 0.677
6.272 5.041 5.701
5.432 2.217 5.681
5.431 5.295 0.645
```

- DFT total energy (eV per atom) = -6.612
- crystal system = triclinic
- D(E_F) (states/eV per cell) = 0.00